Entry 1:
# Na2MgOsO6

Crystalline Na2MgOsO6 at its relaxed geometry (PBE, the Alexandria database).

Output
- Energy relative to the elements, uncorrected: -1566 meV/atom
- Space group: P2_1/c, No. 14

a b c (Å): 5.4410 5.5108 7.7443
angles (deg): 90.00 90.08 90.00
With the nearest neighbours (Å) after each atom.
Atoms (fractional coordinates):
Na 0.0058 0.9682 0.2503  6 O 2.39-2.68
Na 0.5058 0.5318 0.7503  6 O 2.39-2.68
Na 0.9942 0.0318 0.7497  6 O 2.39-2.68
Na 0.4942 0.4682 0.2497  6 O 2.39-2.68
Mg 0.5000 0.0000 0.0000  6 O 2.08-2.09
Mg 0.0000 0.5000 0.5000  6 O 2.08-2.09
Os 0.5000 0.0000 0.5000  6 O 1.87
Os 0.0000 0.5000 0.0000  6 O 1.87
O 0.2752 0.6982 0.0341  1 Os 1.87, 1 Mg 2.08
O 0.7752 0.8018 0.5341  1 Os 1.87, 1 Mg 2.08
O 0.7248 0.3018 0.9659  1 Os 1.87, 1 Mg 2.08
O 0.2248 0.1982 0.4659  1 Os 1.87, 1 Mg 2.08
O 0.3046 0.7249 0.4633  1 Os 1.87, 1 Mg 2.09
O 0.8046 0.7751 0.9633  1 Os 1.87, 1 Mg 2.09
O 0.6954 0.2751 0.5367  1 Os 1.87, 1 Mg 2.09
O 0.1954 0.2249 0.0367  1 Os 1.87, 1 Mg 2.09
O 0.9312 0.5149 0.2365  1 Os 1.87, 1 Mg 2.08
O 0.4312 0.9851 0.7365  1 Os 1.87, 1 Mg 2.08
O 0.0688 0.4851 0.7635  1 Os 1.87, 1 Mg 2.08
O 0.5688 0.0149 0.2635  1 Os 1.87, 1 Mg 2.08



Entry 2:
# Na4Mg3P4O15

Crystalline Na4Mg3P4O15 at its relaxed geometry (PBE, the Alexandria database).

Output
- Energy relative to the elements, uncorrected: -2444 meV/atom
- Space group: Pna2_1, No. 33
- DOS at the Fermi energy: 0.0000 states/eV/atom

a b c (Å): 6.5911 10.5954 18.2938
angles (deg): 90.00 90.00 90.00
With the nearest neighbours (Å) after each atom.
Atoms (fractional coordinates):
Na 0.4308 0.2356 0.8923  4 O 2.32-2.45
Na 0.9308 0.7644 0.1077  4 O 2.32-2.45
Na 0.9308 0.7356 0.6077  4 O 2.32-2.45
Na 0.4308 0.2644 0.3923  4 O 2.32-2.45
Na 0.0079 0.7518 0.7942  7 O 2.42-2.61
Na 0.5079 0.2482 0.2058  7 O 2.42-2.61
Na 0.5079 0.2518 0.7058  7 O 2.42-2.61
Na 0.0079 0.7482 0.2942  7 O 2.42-2.61
Na 0.0436 0.5249 0.9915  6 O 2.34-2.59
Na 0.5436 0.4751 0.0085  6 O 2.34-2.59
Na 0.5436 0.0249 0.5085  6 O 2.34-2.59
Na 0.0436 0.9751 0.4915  6 O 2.34-2.59
Na 0.1838 0.9581 0.9612  5 O 2.39-2.66
Na 0.6838 0.0419 0.0388  5 O 2.39-2.66
Na 0.6838 0.4581 0.5388  5 O 2.39-2.66
Na 0.1838 0.5419 0.4612  5 O 2.39-2.66
Mg 0.2596 0.0068 0.6391  6 O 2.08-2.19
Mg 0.7596 0.9932 0.3609  6 O 2.08-2.19
Mg 0.7596 0.5068 0.8609  6 O 2.08-2.19
Mg 0.2596 0.4932 0.1391  6 O 2.08-2.19
Mg 0.5260 0.7556 0.7375  5 O 2.04-2.11
Mg 0.0260 0.2444 0.2625  5 O 2.04-2.11
Mg 0.0260 0.2556 0.7625  5 O 2.04-2.11
Mg 0.5260 0.7444 0.2375  5 O 2.04-2.11
Mg 0.2503 0.4956 0.6668  6 O 2.06-2.25
Mg 0.7503 0.5044 0.3332  6 O 2.06-2.25
Mg 0.7503 0.9956 0.8332  6 O 2.06-2.25
Mg 0.2503 0.0044 0.1668  6 O 2.06-2.25
P 0.2673 0.5120 0.8192  4 O 1.54-1.58
P 0.7673 0.4880 0.1808  4 O 1.54-1.58
P 0.7673 0.0120 0.6808  4 O 1.54-1.58
P 0.2673 0.9880 0.3192  4 O 1.54-1.58
P 0.2575 0.9975 0.7907  4 O 1.53-1.58
P 0.7575 0.0025 0.2093  4 O 1.53-1.58
P 0.7575 0.4975 0.7093  4 O 1.53-1.58
P 0.2575 0.5025 0.2907  4 O 1.53-1.58
P 0.4010 0.7362 0.5691  4 O 1.52-1.64
P 0.9010 0.2638 0.4309  4 O 1.52-1.64
P 0.9010 0.2362 0.9309  4 O 1.52-1.64
P 0.4010 0.7638 0.0691  4 O 1.52-1.64
P 0.7133 0.7279 0.4498  4 O 1.52-1.67
P 0.2133 0.2721 0.5502  4 O 1.52-1.67
P 0.2133 0.2279 0.0502  4 O 1.52-1.67
P 0.7133 0.7721 0.9498  4 O 1.52-1.67
O 0.2892 0.8629 0.5607  1 P 1.54
O 0.7892 0.1371 0.4393  1 P 1.54
O 0.7892 0.3629 0.9393  1 P 1.54
O 0.2892 0.6371 0.0607  1 P 1.54
O 0.2961 0.8862 0.7355  1 P 1.57
O 0.7961 0.1138 0.2645  1 P 1.57
O 0.7961 0.3862 0.7645  1 P 1.57
O 0.2961 0.6138 0.2355  1 P 1.57
O 0.4395 0.0259 0.8401  1 P 1.53
O 0.9395 0.9741 0.1599  1 P 1.53
O 0.9395 0.5259 0.6599  1 P 1.53
O 0.4395 0.4741 0.3401  1 P 1.53
O 0.0693 0.9643 0.8375  1 P 1.55
O 0.5693 0.0357 0.1625  1 P 1.55
O 0.5693 0.4643 0.6625  1 P 1.55
O 0.0693 0.5357 0.3375  1 P 1.55
O 0.2537 0.6275 0.5843  1 P 1.53
O 0.7537 0.3725 0.4157  1 P 1.53
O 0.7537 0.1275 0.9157  1 P 1.53
O 0.2537 0.8725 0.0843  1 P 1.53
O 0.2406 0.3950 0.7674  1 P 1.57
O 0.7406 0.6050 0.2326  1 P 1.57
O 0.7406 0.8950 0.7326  1 P 1.57
O 0.2406 0.1050 0.2674  1 P 1.57
O 0.0727 0.5440 0.8627  1 P 1.55
O 0.5727 0.4560 0.1373  1 P 1.55
O 0.5727 0.0440 0.6373  1 P 1.55
O 0.0727 0.9560 0.3627  1 P 1.55
O 0.4470 0.4863 0.8712  1 P 1.54
O 0.9470 0.5137 0.1288  1 P 1.54
O 0.9470 0.9863 0.6288  1 P 1.54
O 0.4470 0.0137 0.3712  1 P 1.54
O 0.7248 0.6137 0.7618  1 P 1.58
O 0.2248 0.3863 0.2382  1 P 1.58
O 0.2248 0.1137 0.7382  1 P 1.58
O 0.7248 0.8863 0.2618  1 P 1.58
O 0.3031 0.6231 0.7632  1 P 1.58
O 0.8031 0.3769 0.2368  1 P 1.58
O 0.8031 0.1231 0.7368  1 P 1.58
O 0.3031 0.8769 0.2632  1 P 1.58
O 0.0741 0.2421 0.8760  1 P 1.52
O 0.5741 0.7579 0.1240  1 P 1.52
O 0.5741 0.7421 0.6240  1 P 1.52
O 0.0741 0.2579 0.3760  1 P 1.52
O 0.4879 0.7001 0.4876  2 P 1.64-1.67
O 0.9879 0.2999 0.5124  2 P 1.64-1.67
O 0.9879 0.2001 0.0124  2 P 1.64-1.67
O 0.4879 0.7999 0.9876  2 P 1.64-1.67
O 0.6908 0.6844 0.3707  1 P 1.53
O 0.1908 0.3156 0.6293  1 P 1.53
O 0.1908 0.1844 0.1293  1 P 1.53
O 0.6908 0.8156 0.8707  1 P 1.53
O 0.8633 0.6493 0.4937  1 P 1.52
O 0.3633 0.3507 0.5063  1 P 1.52
O 0.3633 0.1493 0.0063  1 P 1.52
O 0.8633 0.8507 0.9937  1 P 1.52
O 0.7483 0.8711 0.4543  1 P 1.54
O 0.2483 0.1289 0.5457  1 P 1.54
O 0.2483 0.3711 0.0457  1 P 1.54
O 0.7483 0.6289 0.9543  1 P 1.54



Entry 3:
# NaMgPO4

Crystalline NaMgPO4 at its relaxed geometry (PBE, the Alexandria database).

Output
- Energy relative to the elements, uncorrected: -2406 meV/atom
- Space group: Cmcm, No. 63
- DOS at the Fermi energy: 0.0000 states/eV/atom

a b c (Å): 5.4797 5.4797 6.1746
angles (deg): 90.00 90.00 112.76
With the nearest neighbours (Å) after each atom.
Atoms (fractional coordinates):
Na 0.5000 0.5000 0.5000  6 O 2.39-2.42
Na 0.5000 0.5000 0.0000  6 O 2.39-2.42
Mg 0.8487 0.1513 0.2500  4 O 1.98-2.07
Mg 0.1513 0.8487 0.7500  4 O 1.98-2.07
P 0.1378 0.8622 0.2500  4 O 1.55-1.57
P 0.8622 0.1378 0.7500  4 O 1.55-1.57
O 0.1714 0.2333 0.7500  1 P 1.57
O 0.7667 0.8286 0.7500  1 P 1.57
O 0.7635 0.2365 0.9546  1 P 1.55
O 0.7635 0.2365 0.5454  1 P 1.55
O 0.2365 0.7635 0.0454  1 P 1.55
O 0.2365 0.7635 0.4546  1 P 1.55
O 0.8286 0.7667 0.2500  1 P 1.57
O 0.2333 0.1714 0.2500  1 P 1.57



Entry 4:
# Na2MgP2O6

Crystalline Na2MgP2O6 at its relaxed geometry (PBE, the Alexandria database).

Output
- Energy relative to the elements, uncorrected: -1991 meV/atom
- Space group: P-3, No. 147
- DOS at the Fermi energy: 0.0568 states/eV/atom

a b c (Å): 5.3635 5.3635 6.0060
angles (deg): 90.00 90.00 120.00
With the nearest neighbours (Å) after each atom.
Atoms (fractional coordinates):
Na 0.3333 0.6667 0.3568  3 O 2.43
Na 0.6667 0.3333 0.6432  3 O 2.43
Mg 0.0000 0.0000 0.0000  6 O 2.16
P 0.3333 0.6667 0.8617  3 O 1.56
P 0.6667 0.3333 0.1383  3 O 1.56
O 0.2561 0.3596 0.7837  1 P 1.56
O 0.1035 0.7439 0.7837  1 P 1.56
O 0.6404 0.8965 0.7837  1 P 1.56
O 0.7439 0.6404 0.2163  1 P 1.56
O 0.8965 0.2561 0.2163  1 P 1.56
O 0.3596 0.1035 0.2163  1 P 1.56



Entry 5:
# NaMgPO4

Crystalline NaMgPO4 at its relaxed geometry (PBE, the Alexandria database).

Output
- Energy relative to the elements, uncorrected: -2477 meV/atom
- Space group: P2_12_12_1, No. 19
- DOS at the Fermi energy: 0.0000 states/eV/atom

a b c (Å): 6.9325 8.8922 15.5011
angles (deg): 90.00 90.00 90.00
With the nearest neighbours (Å) after each atom.
Atoms (fractional coordinates):
Na 0.4460 0.6085 0.1555  4 O 2.30-2.54
Na 0.9460 0.8915 0.8445  4 O 2.30-2.54
Na 0.5540 0.1085 0.3445  4 O 2.30-2.54
Na 0.0540 0.3915 0.6555  4 O 2.30-2.54
Na 0.5364 0.5988 0.4862  5 O 2.33-2.61
Na 0.0364 0.9012 0.5138  5 O 2.33-2.61
Na 0.4636 0.0988 0.0138  5 O 2.33-2.61
Na 0.9636 0.4012 0.9862  5 O 2.33-2.61
Na 0.5212 0.6008 0.8200  5 O 2.33-2.61
Na 0.0212 0.8992 0.1800  5 O 2.33-2.61
Na 0.4788 0.1008 0.6800  5 O 2.33-2.61
Na 0.9788 0.3992 0.3200  5 O 2.33-2.61
Mg 0.3055 0.2659 0.4878  5 O 1.99-2.22
Mg 0.8055 0.2341 0.5122  5 O 1.99-2.22
Mg 0.6945 0.7659 0.0122  5 O 1.99-2.22
Mg 0.1945 0.7341 0.9878  5 O 1.99-2.22
Mg 0.7028 0.2733 0.1514  5 O 1.98-2.17
Mg 0.2028 0.2267 0.8486  5 O 1.98-2.17
Mg 0.2972 0.7733 0.3486  5 O 1.98-2.17
Mg 0.7972 0.7267 0.6514  5 O 1.98-2.17
Mg 0.7210 0.2554 0.8269  5 O 2.05-2.19
Mg 0.2210 0.2446 0.1731  5 O 2.05-2.19
Mg 0.2790 0.7554 0.6731  5 O 2.05-2.19
Mg 0.7790 0.7446 0.3269  5 O 2.05-2.19
P 0.5380 0.4292 0.6486  4 O 1.54-1.58
P 0.0380 0.0708 0.3514  4 O 1.54-1.58
P 0.4620 0.9292 0.8514  4 O 1.54-1.58
P 0.9620 0.5708 0.1486  4 O 1.54-1.58
P 0.4703 0.4302 0.9841  4 O 1.54-1.58
P 0.9703 0.0698 0.0159  4 O 1.54-1.58
P 0.5297 0.9302 0.5159  4 O 1.54-1.58
P 0.0297 0.5698 0.4841  4 O 1.54-1.58
P 0.4928 0.4351 0.3143  4 O 1.54-1.58
P 0.9928 0.0649 0.6857  4 O 1.54-1.58
P 0.5072 0.9351 0.1857  4 O 1.54-1.58
P 0.0072 0.5649 0.8143  4 O 1.54-1.58
O 0.0181 0.6311 0.5788  1 P 1.57
O 0.5181 0.8689 0.4212  1 P 1.57
O 0.9819 0.1311 0.9212  1 P 1.57
O 0.4819 0.3689 0.0788  1 P 1.57
O 0.8332 0.6356 0.7671  1 P 1.54
O 0.3332 0.8644 0.2329  1 P 1.54
O 0.1668 0.1356 0.7329  1 P 1.54
O 0.6668 0.3644 0.2671  1 P 1.54
O 0.7774 0.6130 0.0984  1 P 1.54
O 0.2774 0.8870 0.9016  1 P 1.54
O 0.2226 0.1130 0.4016  1 P 1.54
O 0.7226 0.3870 0.5984  1 P 1.54
O 0.8492 0.6146 0.4315  1 P 1.55
O 0.3492 0.8854 0.5685  1 P 1.55
O 0.1508 0.1146 0.0685  1 P 1.55
O 0.6508 0.3854 0.9315  1 P 1.55
O 0.9819 0.3889 0.8160  1 P 1.58
O 0.4819 0.1111 0.1840  1 P 1.58
O 0.0181 0.8889 0.6840  1 P 1.58
O 0.5181 0.6111 0.3160  1 P 1.58
O 0.2118 0.6351 0.4414  1 P 1.54
O 0.0102 0.6273 0.9080  1 P 1.55
O 0.9898 0.1273 0.5920  1 P 1.55
O 0.4898 0.3727 0.4080  1 P 1.55
O 0.0437 0.3928 0.4838  1 P 1.58
O 0.5437 0.1072 0.5162  1 P 1.58
O 0.9563 0.8928 0.0162  1 P 1.58
O 0.4563 0.6072 0.9838  1 P 1.58
O 0.9568 0.6316 0.2421  1 P 1.55
O 0.4568 0.8684 0.7579  1 P 1.55
O 0.0432 0.1316 0.2579  1 P 1.55
O 0.5432 0.3684 0.7421  1 P 1.55
O 0.9756 0.3933 0.1472  1 P 1.58
O 0.4756 0.1067 0.8528  1 P 1.58
O 0.0244 0.8933 0.3528  1 P 1.58
O 0.5244 0.6067 0.6472  1 P 1.58
O 0.3604 0.3645 0.6010  1 P 1.55
O 0.8604 0.1355 0.3990  1 P 1.55
O 0.6396 0.8645 0.8990  1 P 1.55
O 0.1396 0.6355 0.1010  1 P 1.55
O 0.3058 0.3984 0.2642  1 P 1.55
O 0.8058 0.1016 0.7358  1 P 1.55
O 0.6942 0.8984 0.2358  1 P 1.55
O 0.1942 0.6016 0.7642  1 P 1.55
O 0.2882 0.3649 0.9414  1 P 1.54
O 0.7882 0.1351 0.0586  1 P 1.54
O 0.7118 0.8649 0.5586  1 P 1.54
O 0.5102 0.8727 0.0920  1 P 1.55



Entry 6:
# Na2MgPaO5

Crystalline Na2MgPaO5 at its relaxed geometry (PBE, the Alexandria database).

Output
- Energy relative to the elements, uncorrected: -2207 meV/atom
- Space group: P4/mmm, No. 123
- DOS at the Fermi energy: 0.7555 states/eV/atom

a b c (Å): 4.3207 4.3207 8.0652
angles (deg): 90.00 90.00 90.00
With the nearest neighbours (Å) after each atom.
Atoms (fractional coordinates):
Na 0.5000 0.5000 0.2781  1 O 2.24
Na 0.5000 0.5000 0.7219  1 O 2.24
Mg 0.0000 0.0000 0.0000  2 O 1.88
Pa 0.0000 0.0000 0.5000  6 O 2.15-2.16
O 0.0000 0.5000 0.5000  2 Pa 2.16
O 0.5000 0.0000 0.5000  2 Pa 2.16
O 0.0000 0.0000 0.7664  1 Mg 1.88
O 0.0000 0.0000 0.2336  1 Mg 1.88
O 0.5000 0.5000 0.0000  2 Na 2.24